No. 1
{
  "formula": "Ac2HfAs2O2",
  "functional": "PBE-GGA",
  "state": "relaxed",
  "lattice": [[4.3346, 0.0000, 0.0000], [0.0000, 4.3346, 0.0000], [0.0000, 0.0000, 16.0696]],
  "species": ["Ac", "Ac", "Ac", "Ac", "Hf", "Hf", "As", "As", "As", "As", "O", "O", "O", "O"],
  "frac_coords": [[0.0000, 0.0000, 0.1329], [0.0000, 0.0000, 0.8671], [0.5000, 0.5000, 0.3671], [0.5000, 0.5000, 0.6329], [0.0000, 0.0000, 0.5000], [0.5000, 0.5000, 0.0000], [0.0000, 0.0000, 0.3300], [0.0000, 0.0000, 0.6700], [0.5000, 0.5000, 0.1700], [0.5000, 0.5000, 0.8300], [0.0000, 0.5000, 0.0000], [0.0000, 0.5000, 0.5000], [0.5000, 0.0000, 0.0000], [0.5000, 0.0000, 0.5000]],
  "vol_a3_per_atom": 21.57,
  "e_form_raw_ev_per_fu": -15.70,
  "space_group": "I4/mmm (139)"
}

---

No. 2
{
  "formula": "AcHfAsO2",
  "functional": "PBE-GGA",
  "state": "relaxed",
  "lattice": [[1.9735, -6.2111, 0.0000], [1.9735, 6.2111, 0.0000], [0.0000, 0.0000, 7.4523]],
  "species": ["Ac", "Ac", "Hf", "Hf", "As", "As", "O", "O", "O", "O"],
  "frac_coords": [[0.2275, 0.7725, 0.7500], [0.7725, 0.2275, 0.2500], [0.5000, 0.5000, 0.0000], [0.5000, 0.5000, 0.5000], [0.0421, 0.9579, 0.2500], [0.9579, 0.0421, 0.7500], [0.3394, 0.6606, 0.0514], [0.3394, 0.6606, 0.4486], [0.6606, 0.3394, 0.5514], [0.6606, 0.3394, 0.9486]],
  "vol_a3_per_atom": 18.27,
  "e_form_raw_ev_per_fu": -13.35,
  "space_group": "Cmcm (63)"
}